First-principles (GGA-PBE) data for a geometry-optimized HgSbC3 structure, as listed in Alexandria via LeMat-Bulk.

## Properties
D(E_F) in states/eV per atom: 0.771
E_form (uncorrected) in eV per atom: 3.274
Space group: Pm-3m
Polymorph energy (0 for the lowest one) in meV per atom: 400

```
HgSbC3
1.0
4.3538 0.0000 0.0000
0.0000 4.3538 0.0000
0.0000 0.0000 4.3538
Sb C Hg
1 3 1
direct
0.5000 0.5000 0.5000
0.0000 0.5000 0.0000
0.0000 0.0000 0.5000
0.5000 0.0000 0.0000
0.0000 0.0000 0.0000
```

=====

First-principles (GGA-PBE) data for a geometry-optimized TePPt4 structure, as listed in Alexandria via LeMat-Bulk.

## Properties
D(E_F) in states/eV per atom: 1.283
E_form (uncorrected) in eV per atom: 0.415
Space group: F-43m

```
TePPt4
1.0
0.0000 3.7890 3.7890
3.7890 0.0000 3.7890
3.7890 3.7890 0.0000
Te P Pt
1 1 4
direct
0.2500 0.2500 0.2500
0.0000 0.0000 0.0000
0.6253 0.6253 0.1241
0.6253 0.1241 0.6253
0.6253 0.6253 0.6253
0.1241 0.6253 0.6253
```

=====

First-principles (GGA-PBE) data for a geometry-optimized Sm8Os3RhBr4 structure, as listed in Alexandria via LeMat-Bulk.

## Properties
D(E_F) in states/eV per atom: 0.599
E_form (uncorrected) in eV per atom: -0.754
Space group: C2/m

```
Sm8Os3RhBr4
1.0
8.1619 0.0000 0.0000
0.0000 9.0594 0.6100
-4.0809 -4.0868 5.7777
Sm Os Rh Br
8 3 1 4
direct
0.2345 0.6958 0.9615
0.2345 0.6956 0.4690
0.2674 0.3023 0.5348
0.7269 0.6958 0.9615
0.2731 0.3042 0.0385
0.7326 0.6977 0.4652
0.7655 0.3044 0.5310
0.7655 0.3042 0.0385
0.5000 0.5000 0.0000
0.5000 0.5000 0.5000
0.0000 0.5000 0.5000
0.0000 0.5000 0.0000
0.5000 0.0000 0.0000
0.5000 0.0000 0.5000
0.0000 0.0000 0.0000
0.0000 0.0000 0.5000
```